(1)
First-principles (PBE) data for Ac2PrSc after structural relaxation, as listed in the Alexandria database.

The energy relative to the lowest polymorph listed for this composition comes out at 11 meV/atom. As for the formation energy: 0.08 eV per atom.

The structure belongs to space group P4/mmm (No. 123); the cell edges are 5.358, 5.358 and 5.132 Å and the angles 90.00°, 90.00° and 90.00°. Symmetry generates all atoms from Ac at (0.000, 0.500, 0.000), Pr at (0.000, 0.000, 0.500) and Sc at (0.500, 0.500, 0.500).

***

(2)
First-principles (PBE) data for Pm2Al3Cu2 after structural relaxation, as listed in the Alexandria database.

As for the formation energy: -0.39 eV per atom.

The structure belongs to space group C2/m (No. 12); the cell edges are 10.783, 4.131 and 7.250 Å and the angles 90.00°, 120.59° and 90.00°. Symmetry generates all atoms from Pm at (0.131, 0.000, 0.272), Al at (0.000, 0.500, 0.500), Al at (0.147, 0.500, 0.934) and Cu at (0.140, 0.000, 0.702).

***

(3)
First-principles (PBE) data for LaPr4Os2 after structural relaxation, as listed in the Alexandria database.

As for the formation energy: 0.01 eV per atom.

The structure belongs to space group P2_1/m (No. 11); the cell edges are 8.060, 6.769 and 8.192 Å and the angles 90.00°, 113.42° and 90.00°. Symmetry generates all atoms from La at (0.033, 0.250, 0.164), Pr at (0.244, 0.504, 0.585), Pr at (0.323, 0.750, 0.247), Pr at (0.376, 0.250, 0.016), Os at (0.018, 0.250, 0.737) and Os at (0.401, 0.250, 0.368).

***

(4)
First-principles (PBE) data for HgW2Au after structural relaxation, as listed in the Alexandria database.

As for the formation energy: 0.93 eV per atom.

The structure belongs to space group P4/mmm (No. 123); the cell edges are 4.939, 4.939 and 2.867 Å and the angles 90.00°, 90.00° and 90.00°. Symmetry generates all atoms from Hg at (0.000, 0.000, 0.000), W at (0.000, 0.500, 0.500) and Au at (0.500, 0.500, 0.000).

***

(5)
First-principles (PBE) data for Hg6I5 after structural relaxation, as listed in the Alexandria database.

The total energy comes out at -1.039 eV/atom.

The structure belongs to space group P-1 (No. 2); the cell edges are 6.536, 8.084 and 8.674 Å and the angles 98.22°, 94.73° and 97.20°. Symmetry generates all atoms from Hg at (0.094, 0.047, 0.346), Hg at (0.250, 0.874, 0.814), Hg at (0.329, 0.530, 0.422), I at (0.022, 0.398, 0.734), I at (0.380, 0.239, 0.073) and I at (0.500, 0.000, 0.500).

***

(6)
First-principles (PBE) data for As4C5 after structural relaxation, as listed in the Alexandria database.

The energy relative to the lowest polymorph listed for this composition comes out at 0 meV/atom. As for the formation energy: 1.01 eV per atom.

The structure belongs to space group I4/mmm (No. 139); the cell edges are 9.803, 9.803 and 2.579 Å and the angles 90.00°, 90.00° and 90.00°. Symmetry generates all atoms from As at (0.000, 0.219, 0.000), C at (0.000, 0.000, 0.000) and C at (0.225, 0.225, 0.000).

***

(7)
First-principles (PBE) data for As2IrCl after structural relaxation, as listed in the Alexandria database.

The energy relative to the lowest polymorph listed for this composition comes out at 890 meV/atom.

The structure belongs to space group F-43m (No. 216); the cell edges are 6.486, 6.486 and 6.486 Å and the angles 90.00°, 90.00° and 90.00°. Symmetry generates all atoms from As at (0.000, 0.000, 0.000), As at (0.250, 0.250, 0.250), Ir at (0.000, 0.000, 0.500) and Cl at (0.250, 0.250, 0.750).

***

(8)
First-principles (PBE) data for CsLiNO2 after structural relaxation, as listed in the Alexandria database.

The total energy comes out at -3.100 eV/atom.

The structure belongs to space group P4/mmm (No. 123); the cell edges are 4.515, 4.515 and 4.428 Å and the angles 90.00°, 90.00° and 90.00°. Symmetry generates all atoms from Cs at (0.000, 0.000, 0.000), Li at (0.500, 0.500, 0.500), N at (0.000, 0.000, 0.500) and O at (0.000, 0.500, 0.000).

***

(9)
First-principles (PBE) data for Ca3Ac3MgSe8 after structural relaxation, as listed in the Alexandria database.

The total energy comes out at -5.021 eV/atom.

The structure belongs to space group R-3m (No. 166, hexagonal axes); the cell edges are 8.6702, 8.6702 and 20.9545 Å and the angles 90.00°, 90.00° and 120.00°. Symmetry generates all atoms from Ca at (0.0000, 0.5000, 0.0000), Ac at (0.0000, 0.5000, 0.5000), Mg at (0.0000, 0.0000, 0.5000), Se at (0.0000, 0.0000, 0.2560) and Se at (0.0265, 0.5133, 0.2476).

***

(10)
First-principles (PBE) data for Li2Cr2Re after structural relaxation, as listed in the Alexandria database.

The energy relative to the lowest polymorph listed for this composition comes out at 0 meV/atom. As for the formation energy: 0.73 eV per atom.

The structure belongs to space group P4/mbm (No. 127); the cell edges are 6.268, 6.268 and 2.964 Å and the angles 90.00°, 90.00° and 90.00°. Symmetry generates all atoms from Li at (0.107, 0.393, 0.000), Cr at (0.198, 0.698, 0.500) and Re at (0.000, 0.000, 0.000).

***

(11)
First-principles (PBE) data for Pm2NdGd after structural relaxation, as listed in the Alexandria database.

The energy relative to the lowest polymorph listed for this composition comes out at 0 meV/atom. As for the formation energy: 0.01 eV per atom.

The structure belongs to space group P4/mmm (No. 123); the cell edges are 5.149, 5.149 and 5.150 Å and the angles 90.00°, 90.00° and 90.00°. Symmetry generates all atoms from Pm at (0.000, 0.500, 0.000), Nd at (0.000, 0.000, 0.500) and Gd at (0.500, 0.500, 0.500).

***

(12)
First-principles (PBE) data for CdAs2P after structural relaxation, as listed in the Alexandria database.

The energy relative to the lowest polymorph listed for this composition comes out at 371 meV/atom. As for the formation energy: 0.48 eV per atom.

The structure belongs to space group Pmmm (No. 47); the cell edges are 3.414, 4.731 and 4.766 Å and the angles 90.00°, 90.00° and 90.00°. Symmetry generates all atoms from Cd at (0.000, 0.000, 0.000), As at (0.000, 0.500, 0.500), As at (0.500, 0.500, 0.000) and P at (0.500, 0.000, 0.500).

***

(13)
First-principles (PBE) data for KTl3Cu2Cl9 after structural relaxation, as listed in the Alexandria database.

The total energy comes out at -3.023 eV/atom.

The structure belongs to space group P-3m1 (No. 164); the cell edges are 6.9569, 6.9569 and 10.1861 Å and the angles 90.00°, 90.00° and 120.00°. Symmetry generates all atoms from K at (0.0000, 0.0000, 0.0000), Tl at (0.0000, 0.0000, 0.5000), Tl at (0.3333, 0.6667, 0.2465), Cu at (0.3333, 0.6667, 0.6471), Cl at (0.0000, 0.5000, 0.5000) and Cl at (0.1704, 0.3407, 0.7691).

***

(14)
First-principles (PBE) data for Mg2AlHg6 after structural relaxation, as listed in the Alexandria database.

As for the formation energy: -0.04 eV per atom.

The structure belongs to space group P2_1/c (No. 14); the cell edges are 5.966, 9.392 and 9.649 Å and the angles 90.00°, 127.75° and 90.00°. Symmetry generates all atoms from Mg at (0.148, 0.072, 0.300), Al at (0.500, 0.000, 0.000), Hg at (0.074, 0.167, 0.971), Hg at (0.308, 0.720, 0.939) and Hg at (0.327, 0.032, 0.668).

***

(15)
First-principles (PBE) data for HSe3Cl after structural relaxation, as listed in the Alexandria database.

The energy relative to the lowest polymorph listed for this composition comes out at 0 meV/atom.

The structure belongs to space group Pm-3m (No. 221); the cell edges are 4.410, 4.410 and 4.410 Å and the angles 90.00°, 90.00° and 90.00°. Symmetry generates all atoms from H at (0.000, 0.000, 0.000), Se at (0.000, 0.000, 0.500) and Cl at (0.500, 0.500, 0.500).

***

(16)
First-principles (PBE) data for Re2Te2F after structural relaxation, as listed in the Alexandria database.

The energy relative to the lowest polymorph listed for this composition comes out at 0 meV/atom.

The structure belongs to space group I4/mmm (No. 139); the cell edges are 3.796, 3.796 and 14.846 Å and the angles 90.00°, 90.00° and 90.00°. Symmetry generates all atoms from Re at (0.000, 0.500, 0.250), Te at (0.000, 0.000, 0.118) and F at (0.000, 0.000, 0.500).

***

(17)
First-principles (PBE) data for InRe2Br after structural relaxation, as listed in the Alexandria database.

The energy relative to the lowest polymorph listed for this composition comes out at 597 meV/atom.

The structure belongs to space group Imm2 (No. 44); the cell edges are 3.401, 4.765 and 11.640 Å and the angles 90.00°, 90.00° and 90.00°. Symmetry generates all atoms from In at (0.000, 0.000, 0.000), Re at (0.000, 0.000, 0.495), Re at (0.000, 0.500, 0.134) and Br at (0.000, 0.500, 0.779).

***

(18)
First-principles (PBE) data for Ba3Cd2Sn after structural relaxation, as listed in the Alexandria database.

As for the formation energy: -0.42 eV per atom.

The structure belongs to space group Cmmm (No. 65); the cell edges are 6.025, 18.084 and 4.264 Å and the angles 90.00°, 90.00° and 90.00°. Symmetry generates all atoms from Ba at (0.000, 0.000, 0.000), Ba at (0.000, 0.338, 0.000), Cd at (0.000, 0.170, 0.500) and Sn at (0.000, 0.500, 0.500).

***

(19)
First-principles (PBE) data for TiTl3Br7 after structural relaxation, as listed in the Alexandria database.

The total energy comes out at -3.406 eV/atom.

The structure belongs to space group Cm (No. 8); the cell edges are 11.358, 9.974 and 8.288 Å and the angles 90.00°, 118.21° and 90.00°. Symmetry generates all atoms from Ti at (0.000, 0.000, 0.000), Tl at (0.013, 0.210, 0.511), Tl at (0.498, 0.000, 0.969), Br at (0.138, 0.183, 0.216), Br at (0.163, 0.000, 0.863), Br at (0.343, 0.500, 0.135), Br at (0.360, 0.321, 0.767) and Br at (0.481, 0.000, 0.593).

***

(20)
First-principles (PBE) data for HfSc2Tl after structural relaxation, as listed in the Alexandria database.

The energy relative to the lowest polymorph listed for this composition comes out at 244 meV/atom. As for the formation energy: 0.10 eV per atom.

The structure belongs to space group R-3m (No. 166, hexagonal axes); the cell edges are 3.2813, 3.2813 and 33.1765 Å and the angles 90.00°, 90.00° and 120.00°. Symmetry generates all atoms from Hf at (0.0000, 0.0000, 0.0000), Sc at (0.0000, 0.0000, 0.4079) and Tl at (0.0000, 0.0000, 0.5000).